Entry 1:
Here is Ac7TbSm4 after structural relaxation from Alexandria. Energies are from PBE-GGA.

The structure in CIF format:
```
data_Ac7TbSm4
_space_group_name_H-M_alt 'P -1'
_space_group_IT_number 2
_cell_length_a 6.6572
_cell_length_b 7.6632
_cell_length_c 10.1547
_cell_angle_alpha 78.31
_cell_angle_beta 71.38
_cell_angle_gamma 89.63
loop_
_space_group_symop_operation_xyz
'x,y,z'
'-x,-y,-z'
loop_
_atom_site_label
_atom_site_type_symbol
_atom_site_fract_x
_atom_site_fract_y
_atom_site_fract_z
Ac1 Ac 0.0000 0.0000 0.0000
Ac2 Ac 0.1647 0.4177 0.3369
Ac3 Ac 0.3293 0.8330 0.6660
Ac4 Ac 0.4951 0.2520 0.9979
Tb1 Tb 0.0000 0.5000 0.0000
Sm1 Sm 0.1675 0.9150 0.3353
Sm2 Sm 0.3355 0.3336 0.6671
```

The value obtained for the formation energy is 0.050 eV per atom.

=====

Entry 2:
Here is Cu2SnPt6 after structural relaxation from Alexandria. Energies are from PBE-GGA.

The structure in CIF format:
```
data_Cu2SnPt6
_space_group_name_H-M_alt 'C 1 2/c 1'
_space_group_IT_number 15
_cell_length_a 11.4636
_cell_length_b 9.7144
_cell_length_c 5.7419
_cell_angle_alpha 90.00
_cell_angle_beta 114.67
_cell_angle_gamma 90.00
loop_
_space_group_symop_operation_xyz
'x,y,z'
'-x,-y,-z'
'-x,y,-z+1/2'
'x,-y,z+1/2'
'x+1/2,y+1/2,z'
'-x+1/2,-y+1/2,-z'
'-x+1/2,y+1/2,-z+1/2'
'x+1/2,-y+1/2,z+1/2'
loop_
_atom_site_label
_atom_site_type_symbol
_atom_site_fract_x
_atom_site_fract_y
_atom_site_fract_z
Cu1 Cu 0.1762 0.0261 0.3717
Sn1 Sn 0.0000 0.3574 0.2500
Pt1 Pt 0.0058 0.1402 0.5261
Pt2 Pt 0.1235 0.4093 0.7624
Pt3 Pt 0.2264 0.2973 0.2442
```

The value obtained for the formation energy is -0.075 eV per atom.

=====

Repeat the first record exactly.
Here is Ac7TbSm4 after structural relaxation from Alexandria. Energies are from PBE-GGA.

The structure in CIF format:
```
data_Ac7TbSm4
_space_group_name_H-M_alt 'P -1'
_space_group_IT_number 2
_cell_length_a 6.6572
_cell_length_b 7.6632
_cell_length_c 10.1547
_cell_angle_alpha 78.31
_cell_angle_beta 71.38
_cell_angle_gamma 89.63
loop_
_space_group_symop_operation_xyz
'x,y,z'
'-x,-y,-z'
loop_
_atom_site_label
_atom_site_type_symbol
_atom_site_fract_x
_atom_site_fract_y
_atom_site_fract_z
Ac1 Ac 0.0000 0.0000 0.0000
Ac2 Ac 0.1647 0.4177 0.3369
Ac3 Ac 0.3293 0.8330 0.6660
Ac4 Ac 0.4951 0.2520 0.9979
Tb1 Tb 0.0000 0.5000 0.0000
Sm1 Sm 0.1675 0.9150 0.3353
Sm2 Sm 0.3355 0.3336 0.6671
```

The value obtained for the formation energy is 0.050 eV per atom.